Ba2CuAg | PBE | relaxed

Calculated values
spin magnetization = 0.000 μB per formula unit
formation energy = -0.127 eV per atom

a = 4.7550 Å, b = 6.7588 Å, c = 9.4064 Å
α = 110.25°, β = 90.00°, γ = 90.00°
With the nearest neighbours (Å) after each atom.
Fractional coordinates of all 8 atoms:
Ba1 0.7500 0.2255 0.4272  3 Cu 3.43-3.47, 4 Ag 3.43-3.81
Ba2 0.2500 0.7745 0.5728  3 Cu 3.43-3.47, 4 Ag 3.43-3.81
Ba3 0.2500 0.7754 0.0642  3 Cu 3.42-3.47, 3 Ag 3.43-3.50
Ba4 0.7500 0.2246 0.9358  3 Cu 3.42-3.47, 3 Ag 3.43-3.50
Cu1 0.2500 0.3888 0.2220  2 Ag 2.81
Cu2 0.7500 0.6112 0.7780  2 Ag 2.81
Ag1 0.7500 0.6251 0.2808  2 Cu 2.81
Ag2 0.2500 0.3749 0.7192  2 Cu 2.81

BaCuAg2 | PBE | relaxed

Calculated values
spin magnetization = 0.000 μB per formula unit
formation energy = 0.257 eV per atom

a = 4.6407 Å, b = 5.7773 Å, c = 4.6505 Å
α = 71.10°, β = 78.73°, γ = 108.84°
With the nearest neighbours (Å) after each atom.
Fractional coordinates of all 4 atoms:
Ag1 0.0000 0.0000 0.0000  2 Ag 2.95, 2 Cu 3.07, 2 Ba 3.07
Ag2 0.5000 0.0000 0.5000  2 Ag 2.95, 2 Ba 3.07, 2 Cu 3.07
Ba1 0.0000 0.5000 0.5000  2 Cu 2.95, 4 Ag 3.07
Cu1 0.5000 0.5000 0.0000  2 Ba 2.95, 4 Ag 3.07

Ba2CuAg | PBE | relaxed

Calculated values
spin magnetization = 0.000 μB per formula unit
formation energy = -0.140 eV per atom

a = 4.6955 Å, b = 4.6980 Å, c = 8.6815 Å
α = 74.24°, β = 74.31°, γ = 60.02°
With the nearest neighbours (Å) after each atom.
Fractional coordinates of all 4 atoms:
Ba1 0.8874 0.6516 0.5736  3 Ag 3.43, 3 Cu 3.44
Ba2 0.7178 0.4792 0.0851  3 Cu 3.43, 3 Ag 3.44
Cu1 0.1356 0.8988 0.8300  3 Ag 2.71
Ag1 0.4695 0.2324 0.8287  3 Cu 2.71

Ba6CuAg2 | PBE | relaxed

Calculated values
spin magnetization = 0.000 μB per formula unit
formation energy = -0.108 eV per atom

a = 7.9348 Å, b = 8.9068 Å, c = 11.8140 Å
α = 90.00°, β = 90.42°, γ = 90.00°
With the nearest neighbours (Å) after each atom.
Fractional coordinates of all 18 atoms:
Ba1 0.1503 0.0391 0.2500  1 Cu 3.21, 2 Ag 3.46-3.52
Ba2 0.1672 0.3193 0.5677  1 Cu 3.24, 2 Ag 3.51-3.57
Ba3 0.1665 0.3266 0.9314  1 Cu 3.16, 1 Ag 3.51
Ba4 0.3335 0.8266 0.5686  1 Cu 3.16, 1 Ag 3.51
Ba5 0.3328 0.8193 0.9323  1 Cu 3.24, 2 Ag 3.51-3.57
Ba6 0.3497 0.5391 0.2500  1 Cu 3.21, 2 Ag 3.46-3.52
Ba7 0.8497 0.9609 0.7500  1 Cu 3.21, 2 Ag 3.46-3.52
Ba8 0.8328 0.6807 0.4323  1 Cu 3.24, 2 Ag 3.51-3.57
Ba9 0.8335 0.6734 0.0686  1 Cu 3.16, 1 Ag 3.51
Ba10 0.6665 0.1734 0.4314  1 Cu 3.16, 1 Ag 3.51
Ba11 0.6672 0.1807 0.0677  1 Cu 3.24, 2 Ag 3.51-3.57
Ba12 0.6503 0.4609 0.7500  1 Cu 3.21, 2 Ag 3.46-3.52
Cu1 0.5000 0.5000 0.0000  6 Ba 3.16-3.24
Cu2 0.0000 0.0000 0.5000  6 Ba 3.16-3.24
Ag1 0.0572 0.6190 0.7460  6 Ba 3.46-3.57
Ag2 0.4428 0.1190 0.7540  6 Ba 3.46-3.57
Ag3 0.5572 0.8810 0.2460  6 Ba 3.46-3.57
Ag4 0.9428 0.3810 0.2540  6 Ba 3.46-3.57

BaCuAg2 | PBE | relaxed

Calculated values
spin magnetization = 0.000 μB per formula unit
formation energy = 0.030 eV per atom

a = 5.2511 Å, b = 5.2511 Å, c = 9.6292 Å
α = 74.18°, β = 74.18°, γ = 90.00°
With the nearest neighbours (Å) after each atom.
Fractional coordinates of all 8 atoms:
Cu1 0.5000 0.5000 0.0000  4 Ag 2.58
Cu2 0.2500 0.7500 0.5000  4 Ag 2.58
Ba1 0.0000 0.0000 0.0000  8 Ag 3.68-3.69, 4 Cu 3.71
Ba2 0.7500 0.2500 0.5000  8 Ag 3.68-3.69, 4 Cu 3.71
Ag1 0.3761 0.1250 0.2500  2 Cu 2.58, 2 Ag 2.63
Ag2 0.3739 0.6250 0.2500  2 Cu 2.58, 2 Ag 2.63
Ag3 0.3750 0.6239 0.7500  2 Cu 2.58, 2 Ag 2.63
Ag4 0.8750 0.6261 0.7500  2 Cu 2.58, 2 Ag 2.63

Ba4CuAg2 | PBE | relaxed

Calculated values
spin magnetization = 0.000 μB per formula unit
formation energy = -0.024 eV per atom

a = 6.3031 Å, b = 6.3031 Å, c = 9.2300 Å
α = 109.97°, β = 109.97°, γ = 90.00°
With the nearest neighbours (Å) after each atom.
Fractional coordinates of all 7 atoms:
Cu1 0.0000 0.0000 0.0000  6 Ba 3.15-3.28
Ba1 0.7974 0.7974 0.5948  1 Cu 3.28, 1 Ag 3.34
Ba2 0.2026 0.2026 0.4052  1 Cu 3.28, 1 Ag 3.34
Ba3 0.0000 0.5000 0.0000  2 Cu 3.15, 4 Ag 3.48
Ba4 0.5000 0.0000 0.0000  2 Cu 3.15, 4 Ag 3.48
Ag1 0.5909 0.5909 0.1818  1 Ag 2.94
Ag2 0.4091 0.4091 0.8182  1 Ag 2.94

BaCuAg2 | PBE | relaxed

Calculated values
spin magnetization = 0.000 μB per formula unit
formation energy = 0.078 eV per atom

a = 3.6482 Å, b = 3.6482 Å, c = 7.1552 Å
α = 90.00°, β = 90.00°, γ = 90.01°
With the nearest neighbours (Å) after each atom.
Fractional coordinates of all 4 atoms:
Ag1 0.0000 0.0000 0.9823  4 Cu 2.82, 4 Ag 2.96
Ag2 0.5000 0.5000 0.1848  1 Cu 2.59
Ba1 0.0000 0.0000 0.5104  6 Ag 3.38-3.78, 4 Cu 3.41, 4 Ba 3.65
Cu1 0.5000 0.5000 0.8225  5 Ag 2.59-2.82

BaCuAg2 | PBE | relaxed

Calculated values
spin magnetization = 0.000 μB per formula unit
formation energy = 0.179 eV per atom

a = 5.2679 Å, b = 5.2679 Å, c = 5.2679 Å
α = 60.00°, β = 60.00°, γ = 60.00°
With the nearest neighbours (Å) after each atom.
Fractional coordinates of all 4 atoms:
Cu1 0.0000 0.0000 0.0000  8 Ag 3.23
Ba1 0.5000 0.5000 0.5000  8 Ag 3.23
Ag1 0.2500 0.2500 0.2500  4 Ba 3.23, 4 Cu 3.23
Ag2 0.7500 0.7500 0.7500  4 Ba 3.23, 4 Cu 3.23

BaCu2Ag9 | PBE | relaxed

Calculated values
spin magnetization = 0.000 μB per formula unit
formation energy = -0.034 eV per atom

a = 7.4131 Å, b = 8.8316 Å, c = 8.8316 Å
α = 79.85°, β = 65.18°, γ = 65.18°
With the nearest neighbours (Å) after each atom.
Fractional coordinates of all 24 atoms:
Ba1 0.5000 0.0000 0.0000  18 Ag 3.57-3.71, 4 Cu 3.97
Ba2 0.2500 0.5000 0.5000  18 Ag 3.57-3.71, 4 Cu 3.97
Cu1 0.8750 0.2500 0.7500  10 Ag 2.73-2.98
Cu2 0.8750 0.7500 0.2500  10 Ag 2.73-2.98
Cu3 0.8750 0.2500 0.2500  10 Ag 2.73-2.98
Cu4 0.3750 0.7500 0.7500  10 Ag 2.73-2.98
Ag1 0.7500 0.5000 0.5000  4 Cu 2.98, 8 Ag 3.02
Ag2 0.0000 0.0000 0.0000  4 Cu 2.98, 8 Ag 3.02
Ag3 0.0199 0.9196 0.6737  2 Cu 2.73-2.75, 8 Ag 2.79-3.03
Ag4 0.6132 0.0804 0.3263  2 Cu 2.73-2.75, 8 Ag 2.79-3.03
Ag5 0.6895 0.1737 0.5804  2 Cu 2.73-2.75, 8 Ag 2.79-3.03
Ag6 0.4436 0.8263 0.4196  2 Cu 2.73-2.75, 8 Ag 2.79-3.03
Ag7 0.7301 0.8263 0.5804  2 Cu 2.73-2.75, 8 Ag 2.79-3.03
Ag8 0.1368 0.1737 0.4196  2 Cu 2.73-2.75, 8 Ag 2.79-3.03
Ag9 0.0605 0.9196 0.3263  2 Cu 2.73-2.75, 8 Ag 2.79-3.03
Ag10 0.3064 0.0804 0.6737  2 Cu 2.73-2.75, 8 Ag 2.79-3.03
Ag11 0.7301 0.5804 0.8263  2 Cu 2.73-2.75, 8 Ag 2.79-3.03
Ag12 0.1368 0.4196 0.1737  2 Cu 2.73-2.75, 8 Ag 2.79-3.03
Ag13 0.0605 0.3263 0.9196  2 Cu 2.73-2.75, 8 Ag 2.79-3.03
Ag14 0.3064 0.6737 0.0804  2 Cu 2.73-2.75, 8 Ag 2.79-3.03
Ag15 0.0199 0.6737 0.9196  2 Cu 2.73-2.75, 8 Ag 2.79-3.03
Ag16 0.6132 0.3263 0.0804  2 Cu 2.73-2.75, 8 Ag 2.79-3.03
Ag17 0.6895 0.5804 0.1737  2 Cu 2.73-2.75, 8 Ag 2.79-3.03
Ag18 0.4436 0.4196 0.8263  2 Cu 2.73-2.75, 8 Ag 2.79-3.03

BaCuAg2 | PBE | relaxed

Calculated values
spin magnetization = 0.000 μB per formula unit
formation energy = -0.008 eV per atom

a = 4.6499 Å, b = 4.5002 Å, c = 5.4449 Å
α = 90.56°, β = 90.00°, γ = 90.00°
With the nearest neighbours (Å) after each atom.
Fractional coordinates of all 4 atoms:
Ag1 0.0000 0.7474 0.9980  2 Cu 2.69, 2 Ag 2.70-2.74
Ag2 0.0000 0.7526 0.5020  2 Cu 2.69, 2 Ag 2.70-2.74
Ba1 0.5000 0.2500 0.2500  8 Ag 3.51-3.52, 4 Cu 3.52-3.55
Cu1 0.5000 0.7500 0.7500  4 Ag 2.69

Ba2CuAg | PBE | relaxed

Calculated values
spin magnetization = 0.000 μB per formula unit
formation energy = -0.030 eV per atom

a = 8.3362 Å, b = 8.3362 Å, c = 8.3362 Å
α = 33.30°, β = 33.30°, γ = 33.30°
With the nearest neighbours (Å) after each atom.
Fractional coordinates of all 4 atoms:
Ag1 0.2500 0.2500 0.2500  6 Ba 3.45
Ba1 0.0048 0.0048 0.0048  3 Cu 3.32, 3 Ag 3.45
Ba2 0.4952 0.4952 0.4952  3 Cu 3.32, 3 Ag 3.45
Cu1 0.7500 0.7500 0.7500  6 Ba 3.32

Ba2CuAg | PBE | relaxed

Calculated values
spin magnetization = 0.000 μB per formula unit
formation energy = -0.125 eV per atom

a = 6.7621 Å, b = 6.7621 Å, c = 4.7916 Å
α = 90.00°, β = 90.00°, γ = 40.60°
With the nearest neighbours (Å) after each atom.
Fractional coordinates of all 4 atoms:
Cu1 0.5680 0.5680 0.3750  2 Ag 2.81
Ba1 0.9872 0.9872 0.8750  2 Ag 3.42, 4 Cu 3.51
Ba2 0.2615 0.2615 0.3750  2 Cu 3.40, 4 Ag 3.50
Ag1 0.6833 0.6833 0.8750  2 Cu 2.81

Ba2CuAg | PBE | relaxed

Calculated values
spin magnetization = 0.000 μB per formula unit
formation energy = -0.076 eV per atom

a = 4.0636 Å, b = 4.0345 Å, c = 9.0676 Å
α = 63.48°, β = 90.00°, γ = 90.00°
With the nearest neighbours (Å) after each atom.
Fractional coordinates of all 4 atoms:
Cu1 0.5000 0.2500 0.2500  8 Ba 3.46
Ba1 0.0000 0.9898 0.0101  4 Cu 3.46, 4 Ag 3.55-3.56
Ba2 0.0000 0.5102 0.4899  4 Cu 3.46, 4 Ag 3.55-3.56
Ag1 0.5000 0.7500 0.7500  8 Ba 3.55-3.56

Ba2CuAg | PBE | relaxed

Calculated values
spin magnetization = 0.000 μB per formula unit
formation energy = 0.053 eV per atom

a = 3.9011 Å, b = 3.9011 Å, c = 9.1927 Å
α = 90.00°, β = 90.00°, γ = 89.95°
With the nearest neighbours (Å) after each atom.
Fractional coordinates of all 4 atoms:
Ag1 0.5000 0.5000 0.6845  4 Cu 2.97-2.98, 1 Ba 3.16
Ba1 0.0000 0.0000 0.9113  1 Cu 3.20, 4 Ag 3.46
Ba2 0.5000 0.5000 0.3410  1 Ag 3.16, 4 Cu 3.43
Cu1 0.0000 0.0000 0.5632  4 Ag 2.97-2.98, 1 Ba 3.20

Ba6CuAg | PBE | relaxed

Calculated values
spin magnetization = 0.004 μB per formula unit
formation energy = -0.045 eV per atom

a = 8.0218 Å, b = 8.0218 Å, c = 15.4238 Å
α = 90.00°, β = 90.00°, γ = 120.00°
With the nearest neighbours (Å) after each atom.
Fractional coordinates of all 16 atoms:
Ba1 0.3306 0.3265 0.3769  1 Cu 3.25, 1 Ag 3.35
Ba2 0.6694 0.6735 0.6231  1 Cu 3.25, 1 Ag 3.35
Ba3 0.9959 0.6694 0.3769  1 Cu 3.25, 1 Ag 3.35
Ba4 0.3306 0.0041 0.1231  1 Cu 3.25, 1 Ag 3.35
Ba5 0.0041 0.3306 0.6231  1 Cu 3.25, 1 Ag 3.35
Ba6 0.6694 0.9959 0.8769  1 Cu 3.25, 1 Ag 3.35
Ba7 0.6735 0.0041 0.3769  1 Cu 3.25, 1 Ag 3.35
Ba8 0.9959 0.3265 0.1231  1 Cu 3.25, 1 Ag 3.35
Ba9 0.3265 0.9959 0.6231  1 Cu 3.25, 1 Ag 3.35
Ba10 0.0041 0.6735 0.8769  1 Cu 3.25, 1 Ag 3.35
Ba11 0.6735 0.6694 0.1231  1 Cu 3.25, 1 Ag 3.35
Ba12 0.3265 0.3306 0.8769  1 Cu 3.25, 1 Ag 3.35
Cu1 0.0000 0.0000 0.5000  6 Ba 3.25
Cu2 0.0000 0.0000 0.0000  6 Ba 3.25
Ag1 0.3333 0.6667 0.2500  6 Ba 3.35
Ag2 0.6667 0.3333 0.7500  6 Ba 3.35

Ba2CuAg | PBE | relaxed

Calculated values
spin magnetization = 0.000 μB per formula unit
formation energy = 0.150 eV per atom

a = 5.4825 Å, b = 5.4825 Å, c = 5.4825 Å
α = 60.00°, β = 60.00°, γ = 60.00°
With the nearest neighbours (Å) after each atom.
Fractional coordinates of all 4 atoms:
Ag1 0.5000 0.5000 0.5000  4 Ba 3.36, 4 Cu 3.36
Ba1 0.0000 0.0000 0.0000  4 Cu 3.36, 4 Ba 3.36
Ba2 0.2500 0.2500 0.2500  4 Ba 3.36, 4 Ag 3.36
Cu1 0.7500 0.7500 0.7500  4 Ba 3.36, 4 Ag 3.36

BaCuAg2 | PBE | relaxed

Calculated values
spin magnetization = 0.000 μB per formula unit
formation energy = 0.106 eV per atom

a = 3.4035 Å, b = 3.6826 Å, c = 7.4419 Å
α = 90.00°, β = 90.00°, γ = 90.00°
With the nearest neighbours (Å) after each atom.
Fractional coordinates of all 4 atoms:
Ag1 0.0000 0.0000 0.9313  1 Ag 2.70, 4 Cu 2.85
Ag2 0.0000 0.0000 0.5687  1 Ag 2.70, 4 Cu 2.85
Ba1 0.5000 0.5000 0.2500  4 Ba 3.40-3.68, 8 Ag 3.45, 2 Cu 3.72
Cu1 0.5000 0.5000 0.7500  8 Ag 2.85

Ba2CuAg | PBE | relaxed

Calculated values
spin magnetization = 0.000 μB per formula unit
formation energy = 0.146 eV per atom

a = 8.7410 Å, b = 8.7410 Å, c = 7.3962 Å
α = 53.78°, β = 53.78°, γ = 90.00°
With the nearest neighbours (Å) after each atom.
Fractional coordinates of all 8 atoms:
Cu1 0.5000 0.5000 0.0000  4 Ba 3.16
Cu2 0.2500 0.7500 0.5000  4 Ba 3.16
Ba1 0.6082 0.1250 0.2500  2 Cu 3.16, 2 Ag 3.35
Ba2 0.1418 0.6250 0.2500  2 Cu 3.16, 2 Ag 3.35
Ba3 0.3750 0.3918 0.7500  2 Cu 3.16, 2 Ag 3.35
Ba4 0.8750 0.8582 0.7500  2 Cu 3.16, 2 Ag 3.35
Ag1 0.0000 0.0000 0.0000  4 Ba 3.35
Ag2 0.7500 0.2500 0.5000  4 Ba 3.35

BaCuAg2 | PBE | relaxed

Calculated values
spin magnetization = 0.000 μB per formula unit
formation energy = -0.098 eV per atom

a = 4.6260 Å, b = 4.6260 Å, c = 6.2715 Å
α = 68.38°, β = 68.38°, γ = 59.98°
With the nearest neighbours (Å) after each atom.
Fractional coordinates of all 4 atoms:
Ag1 0.9482 0.9482 0.1549  3 Cu 2.72-2.73, 3 Ag 2.88
Ag2 0.5518 0.5518 0.3451  3 Cu 2.72-2.73, 3 Ag 2.88
Ba1 0.7500 0.7500 0.7500  8 Ag 3.38-3.52
Cu1 0.2500 0.2500 0.2500  6 Ag 2.72-2.73

BaCuAg2 | PBE | relaxed

Calculated values
spin magnetization = 0.000 μB per formula unit
formation energy = 0.228 eV per atom

a = 4.3680 Å, b = 4.3680 Å, c = 5.3392 Å
α = 90.00°, β = 90.00°, γ = 90.00°
With the nearest neighbours (Å) after each atom.
Fractional coordinates of all 4 atoms:
Ag1 0.0000 0.0000 0.0000  4 Ag 3.09, 4 Ba 3.45, 4 Cu 3.45
Ag2 0.5000 0.5000 0.0000  4 Ag 3.09, 4 Cu 3.45, 4 Ba 3.45
Ba1 0.5000 0.0000 0.5000  4 Cu 3.09, 8 Ag 3.45
Cu1 0.0000 0.5000 0.5000  4 Ba 3.09, 8 Ag 3.45